Density functional theory data (PBE with a Hubbard U) for a relaxed SrCdCoF6 crystal.

```
18
Lattice="5.681 0.000 0.000 -2.841 4.920 0.000 0.000 0.000 10.296" Properties=species:S:1:pos:R:3 pbc="T T T"
Sr 0.000 0.000 0.000
Sr 0.000 0.000 5.148
Cd 0.000 3.280 2.574
Cd 2.841 1.640 7.722
Co 0.000 3.280 7.722
Co 2.841 1.640 2.574
F -0.889 1.797 6.583
F -1.729 3.252 8.861
F 0.889 1.797 8.861
F -0.840 4.792 6.583
F 2.000 0.128 1.435
F 1.111 1.668 3.713
F 1.729 3.252 6.583
F 0.840 4.792 8.861
F 3.681 0.128 3.713
F 1.952 3.124 1.435
F 4.570 1.668 1.435
F 3.730 3.124 3.713
```

Values from the calculation:
- Final energy: -4.846 eV per atom